Density functional theory data (PBE) for an optimized crystal structure of MnAsI.

Density of states at the Fermi level: 0.47 states/eV/f.u.
Total energy: -5.102 eV/atom

a = 7.5433 Å, b = 6.5687 Å, c = 8.4129 Å
α = 90.00°, β = 67.05°, γ = 90.00°
Last column: nearest neighbours and their distance in Å.
Positions (direct):
I 0.3153 0.4774 0.3633  2 Mn 2.72-2.74
I 0.8153 0.0226 0.8633  2 Mn 2.72-2.74
I 0.6847 0.5226 0.6367  2 Mn 2.72-2.74
I 0.1847 0.9774 0.1367  2 Mn 2.72-2.74
Mn 0.4094 0.7351 0.5739  3 As 2.39-2.50
Mn 0.0906 0.2351 0.9261  3 As 2.39-2.50
Mn 0.5906 0.2649 0.4261  3 As 2.39-2.50
Mn 0.9094 0.7649 0.0739  3 As 2.39-2.50
As 0.6503 0.9196 0.3312  3 Mn 2.39-2.50
As 0.1503 0.5804 0.8312  3 Mn 2.39-2.50
As 0.3497 0.0804 0.6688  3 Mn 2.39-2.50
As 0.8497 0.4196 0.1688  3 Mn 2.39-2.50

Density functional theory data (PBE) for an optimized crystal structure of TiTc2Pd.

Density of states at the Fermi level: 4.03 states/eV/f.u.
DFT formation energy: 0.243 eV per atom

a = 3.6958 Å, b = 3.6958 Å, c = 9.8888 Å
α = 79.23°, β = 79.23°, γ = 90.00°
Last column: nearest neighbours and their distance in Å.
Positions (direct):
Pd 0.7500 0.2500 0.5000  4 Ti 2.61, 4 Tc 2.76
Pd 0.0000 0.0000 0.0000  4 Ti 2.61, 4 Tc 2.76
Ti 0.5000 0.5000 0.0000  4 Pd 2.61, 4 Tc 2.68
Ti 0.2500 0.7500 0.5000  4 Pd 2.61, 4 Tc 2.68
Tc 0.8750 0.8441 0.7500  2 Tc 2.46, 2 Ti 2.68
Tc 0.3750 0.4059 0.7500  2 Tc 2.46, 2 Ti 2.68
Tc 0.1559 0.6250 0.2500  2 Tc 2.46, 2 Ti 2.68
Tc 0.5941 0.1250 0.2500  2 Tc 2.46, 2 Ti 2.68

Density functional theory data (PBE) for an optimized crystal structure of Ce2TeAu.

Density of states at the Fermi level: 14.21 states/eV/f.u.
Total energy: -5.506 eV/atom

a = 4.6728 Å, b = 4.1704 Å, c = 12.1586 Å
α = 99.88°, β = 90.00°, γ = 90.00°
Last column: nearest neighbours and their distance in Å.
Positions (direct):
Ce 0.7500 0.9400 0.8800  1 Te 3.15, 6 Au 3.16-3.22
Ce 0.2500 0.3245 0.6490  5 Te 3.16-3.19, 1 Au 3.18
Ce 0.7500 0.6755 0.3510  5 Te 3.16-3.19, 1 Au 3.18
Ce 0.2500 0.0600 0.1200  1 Te 3.15, 6 Au 3.16-3.22
Au 0.7500 0.5426 0.0853  2 Au 3.10, 7 Ce 3.16-3.22
Au 0.2500 0.4574 0.9148  2 Au 3.10, 7 Ce 3.16-3.22
Te 0.7500 0.8084 0.6169  6 Ce 3.15-3.19
Te 0.2500 0.1916 0.3831  6 Ce 3.15-3.19

Density functional theory data (PBE) for an optimized crystal structure of BaRuCl2.

Density of states at the Fermi level: 7.42 states/eV/f.u.
Total energy: -4.090 eV/atom

a = 6.5295 Å, b = 6.5295 Å, c = 6.5295 Å
α = 141.98°, β = 141.98°, γ = 54.85°
Last column: nearest neighbours and their distance in Å.
Positions (direct):
Cl 0.2500 0.7500 0.5000  4 Ba 3.01
Cl 0.0000 0.0000 0.0000  4 Ru 3.01
Ru 0.5000 0.5000 0.0000  4 Cl 3.01
Ba 0.7500 0.2500 0.5000  4 Cl 3.01

Q: The lowest density of states at the Fermi level belongs to which entry?
A: MnAsI

Q: Among the records above, which one has the highest density of states at the Fermi level?
A: Ce2TeAu

Q: What is the formula in the fourth record?
A: BaRuCl2

Q: density of states at the Fermi level of number 3 (Ce2TeAu)?
A: 14.21 states/eV/f.u.